P.
An optimized crystal structure of TcMo2Rh. Source: Alexandria via LeMat-Bulk, functional GGA-PBE.

Cell: 2.695 2.695 8.546 Å, 90.00 90.00 101.73°
Sites, in units of the cell vectors:
Mo 0.000 0.000 0.995
Mo 0.500 0.500 0.260
Rh 0.000 0.000 0.505
Tc 0.500 0.500 0.740

Summary:
Space group: Cmm2, No. 35
DOS at the Fermi energy in states/eV/f.u.: 3.92

---

Q.
An optimized crystal structure of TcMo2Rh. Source: Alexandria via LeMat-Bulk, functional GGA-PBE.

Cell: 3.859 3.952 3.952 Å, 90.00 90.00 90.00°
Sites, in units of the cell vectors:
Mo 0.000 0.000 0.500
Mo 0.000 0.500 0.000
Rh 0.500 0.500 0.500
Tc 0.500 0.000 0.000

Summary:
Space group: P4/mmm, No. 123
DOS at the Fermi energy in states/eV/f.u.: 5.52

---

P is the least stable structure shown above.